1.
Cs3LaAg2Br9 | PBE | optimized geometry

It has space group P-3m1 (No. 164), with a = 8.0303 Å, b = 8.0303 Å, c = 9.9834 Å, α = 90.00°, β = 90.00° and γ = 120.00°. The asymmetric unit holds Cs at (0.0000, 0.0000, 0.0000), Cs at (0.3333, 0.6667, 0.6881), La at (0.0000, 0.0000, 0.5000), Ag at (0.3333, 0.6667, 0.1484), Br at (0.0000, 0.5000, 0.0000) and Br at (0.1706, 0.3413, 0.3294).

The density of states at the Fermi level is 0.480 states/eV/atom. The crystal system is trigonal. The uncorrected formation energy is -1.359 eV per atom. The value obtained for the raw total energy is -48.63 eV/cell.

---

2.
CsLa2AgBr8 | PBE | optimized geometry

It has space group P-1 (No. 2), with a = 7.3041 Å, b = 7.4158 Å, c = 9.2980 Å, α = 90.06°, β = 90.06° and γ = 98.46°. The asymmetric unit holds Cs at (0.0000, 0.0000, 0.0000), La at (0.5000, 0.5004, 0.2606), Ag at (0.0000, 0.0000, 0.5000), Br at (0.1494, 0.2643, 0.2942), Br at (0.1496, 0.2619, 0.7049), Br at (0.3708, 0.7178, 0.5004) and Br at (0.3903, 0.7112, 0.9999).

The density of states at the Fermi level is 0.000 states/eV/atom. The crystal system is triclinic. The uncorrected formation energy is -1.639 eV per atom. The value obtained for the raw total energy is -46.61 eV/cell.

---

3.
Cs2LaAg2Br6 | PBE | optimized geometry

It has space group C2/m (No. 12), with a = 14.0285 Å, b = 8.3605 Å, c = 9.2972 Å, α = 90.00°, β = 121.32° and γ = 90.00°. The asymmetric unit holds Cs at (0.2118, 0.0000, 0.1772), La at (0.0000, 0.0000, 0.5000), Ag at (0.0439, 0.5000, 0.1699), Br at (0.0592, 0.2373, 0.7710) and Br at (0.2332, 0.0000, 0.5836).

The density of states at the Fermi level is 0.190 states/eV/atom. The crystal system is monoclinic. The uncorrected formation energy is -1.306 eV per atom. The value obtained for the raw total energy is -73.47 eV/cell.

---

4.
CsLaAg2Br8 | PBE | optimized geometry

It has space group I-4 (No. 82), with a = 7.3276 Å, b = 7.3276 Å, c = 16.2622 Å, α = 90.00°, β = 90.00° and γ = 90.00°. The asymmetric unit holds Cs at (0.0000, 0.0000, 0.0000), La at (0.0000, 0.5000, 0.2500), Ag at (0.0000, 0.0000, 0.5000), Ag at (0.0000, 0.5000, 0.7500), Br at (0.1134, 0.2830, 0.4072) and Br at (0.1667, 0.7879, 0.8067).

The density of states at the Fermi level is 1.289 states/eV/atom. The crystal system is tetragonal. The uncorrected formation energy is -0.984 eV per atom. The value obtained for the raw total energy is -73.35 eV/cell.

---

5.
CsLaAgBr5 | PBE | optimized geometry

It has space group C2/c (No. 15), with a = 9.7325 Å, b = 13.4703 Å, c = 11.1685 Å, α = 90.00°, β = 111.49° and γ = 90.00°. The asymmetric unit holds Cs at (0.0000, 0.1541, 0.2500), La at (0.0000, 0.5000, 0.0000), Ag at (0.0000, 0.1875, 0.7500), Br at (0.0000, 0.4257, 0.2500), Br at (0.1023, 0.2989, 0.5970) and Br at (0.1914, 0.0635, 0.9320).

The density of states at the Fermi level is 0.000 states/eV/atom. The crystal system is monoclinic. The uncorrected formation energy is -1.540 eV per atom. The value obtained for the raw total energy is -117.26 eV/cell.

---

6.
Cs3LiAg2Br6 | PBE | optimized geometry

It has space group P-3m1 (No. 164), with a = 8.2371 Å, b = 8.2371 Å, c = 9.2820 Å, α = 90.00°, β = 90.00° and γ = 120.00°. The asymmetric unit holds Cs at (0.0000, 0.0000, 0.0000), Cs at (0.3333, 0.6667, 0.6529), Li at (0.0000, 0.0000, 0.5000), Ag at (0.3333, 0.6667, 0.2701) and Br at (0.1532, 0.3065, 0.3068).

The density of states at the Fermi level is 0.000 states/eV/atom. The crystal system is trigonal. The uncorrected formation energy is -1.190 eV per atom. The value obtained for the raw total energy is -34.49 eV/cell.

---

7.
CsLiAg2Br4 | PBE | optimized geometry

It has space group I222 (No. 23), with a = 7.1312 Å, b = 8.3183 Å, c = 9.2756 Å, α = 90.00°, β = 90.00° and γ = 90.00°. The asymmetric unit holds Cs at (0.0000, 0.0000, 0.0000), Li at (0.0000, 0.0000, 0.5000), Ag at (0.0000, 0.5000, 0.1614) and Br at (0.2099, 0.1752, 0.3390).

The density of states at the Fermi level is 0.000 states/eV/atom. The crystal system is orthorhombic. The uncorrected formation energy is -1.006 eV per atom. The value obtained for the raw total energy is -46.41 eV/cell.

---

8.
Cs2LiAg2Br7 | PBE | optimized geometry

It has space group C2/m (No. 12), with a = 7.7088 Å, b = 7.7086 Å, c = 14.4632 Å, α = 90.00°, β = 105.19° and γ = 90.00°. The asymmetric unit holds Cs at (0.1764, 0.0000, 0.3521), Li at (0.0000, 0.0000, 0.0000), Ag at (0.0956, 0.5000, 0.1897), Br at (0.0000, 0.5000, 0.0000), Br at (0.1657, 0.2490, 0.8355) and Br at (0.1908, 0.5000, 0.3828).

The density of states at the Fermi level is 0.240 states/eV/atom. The crystal system is monoclinic. The uncorrected formation energy is -0.899 eV per atom. The value obtained for the raw total energy is -63.65 eV/cell.